PuSc2B2Rh5 after structural relaxation, computed with PBE-GGA.

Cell and atoms, written as POSCAR:
```
PuSc2B2Rh5
1.0
9.5710 0.0000 0.0000
0.0000 9.5710 0.0000
0.0000 0.0000 3.2371
Pu Sc B Rh
2 4 4 10
Cartesian
0.0000 0.0000 0.0000
4.7855 4.7855 0.0000
1.6461 3.1394 0.0000
3.1394 7.9249 0.0000
6.4316 1.6461 0.0000
7.9249 6.4316 0.0000
1.1655 5.9510 0.0000
3.6200 1.1655 0.0000
5.9510 8.4055 0.0000
8.4055 3.6200 0.0000
0.0000 4.7855 1.6185
0.6948 7.3974 1.6185
2.1736 0.6948 1.6185
2.6119 5.4803 1.6185
4.0907 2.6119 1.6185
4.7855 0.0000 1.6185
5.4803 6.9592 1.6185
6.9592 4.0907 1.6185
7.3974 8.8762 1.6185
8.8762 2.1736 1.6185
```

Values from the calculation:
The calculation puts the density at 9.7 g/cm³. Its symmetry is P4/mbm (127). For the formation energy, the calculation gives -0.6765 eV per atom. For the total energy, the calculation gives -83.87 eV/f.u.